# 1
SmZnGaRh | PBE-GGA | relaxed

a b c (Å): 6.6165 6.6165 6.6165
angles (deg): 90.00 90.00 90.00
Space group F-43m (No. 216)
Inequivalent atoms, fractional coordinates:
1 Sm 0.0000 0.0000 0.0000 x4
2 Zn 0.2500 0.2500 0.7500 x4
3 Ga 0.2500 0.2500 0.2500 x4
4 Rh 0.0000 0.0000 0.5000 x4

Summary:
DOS at the Fermi energy in states/eV per atom: 1.15
ΔH_f (0 K) in eV/f.u.: -1.90
Crystal system: cubic
ρ in g/cm³: 8.9


# 2
KHgBiAu2 | PBE-GGA | relaxed

a b c (Å): 5.4084 5.4084 5.6776
angles (deg): 90.00 90.00 90.00
Space group P4/mmm (No. 123)
Inequivalent atoms, fractional coordinates:
1 K 0.0000 0.0000 0.0000 x1
2 Hg 0.5000 0.5000 0.5000 x1
3 Bi 0.5000 0.5000 0.0000 x1
4 Au 0.0000 0.5000 0.5000 x2

Summary:
DOS at the Fermi energy in states/eV per atom: 0.41
ΔH_f (0 K) in eV/f.u.: 0.87
Crystal system: tetragonal
ρ in g/cm³: 8.4
Energy relative to the lowest polymorph listed for this composition in meV/atom: 355


# 3
PaCoCu2 | PBE-GGA | relaxed

a b c (Å): 4.1635 6.6200 4.7306
angles (deg): 90.00 106.59 90.00
Space group P2_1/m (No. 11)
Inequivalent atoms, fractional coordinates:
1 Pa 0.0470 0.2500 0.1725 x2
2 Co 0.1339 0.7500 0.4163 x2
3 Cu 0.4182 0.0600 0.7351 x4

Summary:
DOS at the Fermi energy in states/eV per atom: 0.89
ΔH_f (0 K) in eV/f.u.: -0.62
Crystal system: monoclinic
ρ in g/cm³: 11.1


# 4
Rb2CrAuCl6 | PBE-GGA | relaxed

a b c (Å): 7.7816 7.7816 9.0939
angles (deg): 90.00 90.00 90.00
Space group I4/mmm (No. 139)
Inequivalent atoms, fractional coordinates:
1 Rb 0.0000 0.5000 0.2500 x4
2 Cr 0.0000 0.0000 0.0000 x2
3 Au 0.0000 0.0000 0.5000 x2
4 Cl 0.0000 0.0000 0.2512 x4
5 Cl 0.2157 0.2157 0.0000 x8

Summary:
DOS at the Fermi energy in states/eV per atom: 0.00
Formation energy from raw total energies in eV/f.u.: -12.0
Crystal system: tetragonal
ρ in g/cm³: 3.8


# 5
Sr3AlCl | PBE-GGA | relaxed

a b c (Å): 5.6750 5.6750 5.6750
angles (deg): 90.00 90.00 90.00
Space group Pm-3m (No. 221)
Inequivalent atoms, fractional coordinates:
1 Sr 0.0000 0.0000 0.5000 x3
2 Al 0.5000 0.5000 0.5000 x1
3 Cl 0.0000 0.0000 0.0000 x1

Summary:
DOS at the Fermi energy in states/eV per atom: 0.13
Formation energy from raw total energies in eV/f.u.: -2.6
Crystal system: cubic
ρ in g/cm³: 3.0
Energy relative to the lowest polymorph listed for this composition in meV/atom: 0


# 6
La5Ge2Br2 | PBE-GGA | relaxed

a b c (Å): 15.7250 8.2089 8.2170
angles (deg): 90.00 90.00 90.00
Space group Cmce (No. 64)
Inequivalent atoms, fractional coordinates:
1 La 0.0000 0.0000 0.0000 x4
2 La 0.1284 0.1597 0.3437 x16
3 Ge 0.0000 0.1443 0.6440 x8
4 Br 0.1966 0.0000 0.0000 x8

Summary:
DOS at the Fermi energy in states/eV per atom: 1.06
Formation energy from raw total energies in eV/f.u.: -8.8
Crystal system: orthorhombic
ρ in g/cm³: 6.3


# 7
SnS2O | PBE-GGA | relaxed

a b c (Å): 3.8422 3.8422 20.0707
angles (deg): 90.00 90.00 120.00
Space group R-3m (No. 166, hexagonal axes)
Inequivalent atoms, fractional coordinates:
1 Sn 0.0000 0.0000 0.0000 x3
2 S 0.0000 0.0000 0.4103 x6
3 O 0.0000 0.0000 0.5000 x3

Summary:
DOS at the Fermi energy in states/eV per atom: 0.00
Formation energy from raw total energies in eV/f.u.: -0.1
Crystal system: trigonal
ρ in g/cm³: 3.9
Energy relative to the lowest polymorph listed for this composition in meV/atom: 0


# 8
Sc2FeCl | PBE-GGA | relaxed

a b c (Å): 3.2757 4.1590 5.2130
angles (deg): 90.00 90.00 90.00
Space group Pmm2 (No. 25)
Inequivalent atoms, fractional coordinates:
1 Sc 0.0000 0.0000 0.0000 x1
2 Sc 0.5000 0.5000 0.4552 x1
3 Fe 0.5000 0.5000 0.9937 x1
4 Cl 0.0000 0.0000 0.5022 x1

Summary:
DOS at the Fermi energy in states/eV per atom: 0.70
Formation energy from raw total energies in eV/f.u.: -1.6
Crystal system: orthorhombic
ρ in g/cm³: 4.2
Energy relative to the lowest polymorph listed for this composition in meV/atom: 312


# 9
NaTl8In3 | PBE-GGA | relaxed

a b c (Å): 8.4043 8.4043 6.5047
angles (deg): 90.00 90.00 120.00
Space group P-31m (No. 162)
Inequivalent atoms, fractional coordinates:
1 Na 0.0000 0.0000 0.0000 x1
2 Tl 0.0000 0.3323 0.7170 x6
3 Tl 0.3333 0.6667 0.0000 x2
4 In 0.0000 0.0000 0.5000 x1
5 In 0.3333 0.6667 0.5000 x2

Summary:
DOS at the Fermi energy in states/eV per atom: 0.56
ΔH_f (0 K) in eV/f.u.: 1.05
Crystal system: trigonal
ρ in g/cm³: 8.4


# 10
BaBe2Pb | PBE-GGA | relaxed

a b c (Å): 4.6993 4.7172 8.0585
angles (deg): 90.00 90.00 90.00
Space group Cmm2 (No. 35)
Inequivalent atoms, fractional coordinates:
1 Ba 0.0000 0.0000 0.0000 x2
2 Be 0.0000 0.0000 0.6113 x2
3 Be 0.0000 0.5000 0.6907 x2
4 Pb 0.0000 0.5000 0.3643 x2

Summary:
DOS at the Fermi energy in states/eV per atom: 0.59
ΔH_f (0 K) in eV/f.u.: 1.79
Crystal system: orthorhombic
ρ in g/cm³: 6.7